# SCAN PdWBr2, single point on PBEsol structure
# E_form (uncorrected) in eV/f.u.: 4.5
# Space-group type: Fm-3m (225)
# E in eV per atom: -34.23
# Crystal system: cubic
data_PdWBr2
_chemical_formula_sum 'Pd1 W1 Br2'
_symmetry_space_group_name_H-M 'P 1'
_symmetry_Int_Tables_number 1
_cell_length_a 4.556
_cell_length_b 4.556
_cell_length_c 4.556
_cell_angle_alpha 60.00
_cell_angle_beta 60.00
_cell_angle_gamma 60.00
loop_
_symmetry_equiv_pos_as_xyz
'x,y,z'
loop_
_atom_site_label
_atom_site_fract_x
_atom_site_fract_y
_atom_site_fract_z
_atom_site_occupancy
Pd1 0.000 0.000 0.000 1
W1 0.500 0.500 0.500 1
Br1 0.250 0.250 0.250 1
Br2 0.750 0.750 0.750 1